Entry w
Crystalline AcPm7Sm12 at its relaxed geometry, computed with PBE.

a = 10.0195 Å, b = 10.0195 Å, c = 10.0195 Å
α = 109.47°, β = 109.47°, γ = 109.47°
Closest atoms and distances in Å follow each position.
Fractional coordinates of all 20 atoms:
1 Ac 0.0000 0.0000 0.0000  12 Sm 4.17
2 Pm 0.0000 0.0000 0.5000  6 Sm 2.89
3 Pm 0.0000 0.5000 0.0000  6 Sm 2.89
4 Pm 0.0000 0.5000 0.5000  12 Sm 4.01-4.10
5 Pm 0.5000 0.0000 0.0000  6 Sm 2.89
6 Pm 0.5000 0.0000 0.5000  12 Sm 4.01-4.10
7 Pm 0.5000 0.5000 0.0000  12 Sm 4.01-4.10
8 Pm 0.5000 0.5000 0.5000  6 Sm 2.89
9 Sm 0.0010 0.2554 0.7456  2 Pm 2.89
10 Sm 0.2544 0.5098 0.2554  2 Pm 2.89
11 Sm 0.2544 0.9990 0.7446  2 Pm 2.89
12 Sm 0.2554 0.2544 0.5098  2 Pm 2.89
13 Sm 0.2554 0.7456 0.0010  2 Pm 2.89
14 Sm 0.4902 0.7446 0.7456  2 Pm 2.89
15 Sm 0.5098 0.2554 0.2544  2 Pm 2.89
16 Sm 0.7446 0.2544 0.9990  2 Pm 2.89
17 Sm 0.7446 0.7456 0.4902  2 Pm 2.89
18 Sm 0.7456 0.0010 0.2554  2 Pm 2.89
19 Sm 0.7456 0.4902 0.7446  2 Pm 2.89
20 Sm 0.9990 0.7446 0.2544  2 Pm 2.89

Properties
- Size of the total moment: 0.000 μB/atom
- Calculated volume: 38.72 Å³/atom

Entry x
Crystalline AcPm7Sm12 at its relaxed geometry, computed with PBE.

a = 8.9048 Å, b = 8.9048 Å, c = 8.9048 Å
α = 87.70°, β = 87.70°, γ = 87.70°
Closest atoms and distances in Å follow each position.
Fractional coordinates of all 20 atoms:
1 Ac 0.0000 0.0000 0.0000  6 Sm 3.64, 6 Pm 3.89
2 Pm 0.0661 0.3935 0.1548  3 Pm 3.50-3.62, 6 Sm 3.55-3.89, 1 Ac 3.89
3 Pm 0.1548 0.0661 0.3935  3 Pm 3.50-3.62, 6 Sm 3.55-3.89, 1 Ac 3.89
4 Pm 0.3935 0.1548 0.0661  3 Pm 3.50-3.62, 6 Sm 3.55-3.89, 1 Ac 3.89
5 Pm 0.5000 0.5000 0.5000  6 Sm 3.39
6 Pm 0.6065 0.8452 0.9339  3 Pm 3.50-3.62, 6 Sm 3.55-3.89, 1 Ac 3.89
7 Pm 0.8452 0.9339 0.6065  3 Pm 3.50-3.62, 6 Sm 3.55-3.89, 1 Ac 3.89
8 Pm 0.9339 0.6065 0.8452  3 Pm 3.50-3.62, 6 Sm 3.55-3.89, 1 Ac 3.89
9 Sm 0.1352 0.6231 0.4930  4 Sm 3.24-3.41, 2 Pm 3.39-3.55
10 Sm 0.1464 0.2791 0.7293  3 Sm 3.24-3.41, 2 Pm 3.58-3.60
11 Sm 0.2707 0.8536 0.7209  3 Sm 3.24-3.41, 2 Pm 3.58-3.60
12 Sm 0.2791 0.7293 0.1464  3 Sm 3.24-3.41, 2 Pm 3.58-3.60
13 Sm 0.3769 0.5070 0.8648  4 Sm 3.24-3.41, 2 Pm 3.39-3.55
14 Sm 0.4930 0.1352 0.6231  4 Sm 3.24-3.41, 2 Pm 3.39-3.55
15 Sm 0.5070 0.8648 0.3769  4 Sm 3.24-3.41, 2 Pm 3.39-3.55
16 Sm 0.6231 0.4930 0.1352  4 Sm 3.24-3.41, 2 Pm 3.39-3.55
17 Sm 0.7209 0.2707 0.8536  3 Sm 3.24-3.41, 2 Pm 3.58-3.60
18 Sm 0.7293 0.1464 0.2791  3 Sm 3.24-3.41, 2 Pm 3.58-3.60
19 Sm 0.8536 0.7209 0.2707  3 Sm 3.24-3.41, 2 Pm 3.58-3.60
20 Sm 0.8648 0.3769 0.5070  4 Sm 3.24-3.41, 2 Pm 3.39-3.55

Properties
- Size of the total moment: 0.000 μB/atom
- Calculated volume: 35.22 Å³/atom

Stability ranking, top entry: entry x; the second entry is 365 meV/atom less favorable.

Entry w
Crystalline Ac2Pm8Sm at its relaxed geometry, computed with PBE.

a = 9.1627 Å, b = 9.1627 Å, c = 7.0080 Å
α = 99.48°, β = 99.48°, γ = 44.29°
Closest atoms and distances in Å follow each position.
Fractional coordinates of all 11 atoms:
1 Ac 0.2001 0.2001 0.3124  7 Pm 3.53-3.83, 1 Sm 3.85
2 Ac 0.7999 0.7999 0.6876  7 Pm 3.53-3.83, 1 Sm 3.85
3 Pm 0.1767 0.6496 0.1001  5 Pm 3.27-3.64, 1 Sm 3.45
4 Pm 0.2456 0.2456 0.8232  5 Pm 3.37-3.54, 4 Ac 3.53-3.74
5 Pm 0.3504 0.8233 0.8999  5 Pm 3.27-3.64, 1 Sm 3.45
6 Pm 0.4142 0.4142 0.5981  4 Pm 3.43-3.68, 1 Ac 3.83
7 Pm 0.5858 0.5858 0.4019  4 Pm 3.43-3.68, 1 Ac 3.83
8 Pm 0.6496 0.1767 0.1001  5 Pm 3.27-3.64, 1 Sm 3.45
9 Pm 0.7544 0.7544 0.1768  5 Pm 3.37-3.54, 4 Ac 3.53-3.74
10 Pm 0.8233 0.3504 0.8999  5 Pm 3.27-3.64, 1 Sm 3.45
11 Sm 0.0000 0.0000 0.5000  8 Pm 3.45-3.86, 2 Ac 3.85

Properties
- Size of the total moment: 0.000 μB/atom
- Calculated volume: 36.75 Å³/atom

Entry x
Crystalline Ac2Pm8Sm at its relaxed geometry, computed with PBE.

a = 10.6352 Å, b = 10.6352 Å, c = 5.7489 Å
α = 93.10°, β = 93.10°, γ = 39.36°
Closest atoms and distances in Å follow each position.
Fractional coordinates of all 11 atoms:
1 Ac 0.2186 0.2186 0.2565  11 Pm 3.49-3.86
2 Ac 0.7814 0.7814 0.7435  11 Pm 3.49-3.86
3 Pm 0.0441 0.0441 0.2354  1 Pm 3.15, 1 Ac 3.49
4 Pm 0.1124 0.6415 0.2680  6 Pm 3.37-3.77, 1 Sm 3.53, 1 Ac 3.69
5 Pm 0.3234 0.3234 0.7744  4 Pm 3.53-3.68, 4 Ac 3.54-3.68, 1 Sm 3.70
6 Pm 0.3585 0.8876 0.7320  6 Pm 3.37-3.77, 1 Sm 3.53, 1 Ac 3.69
7 Pm 0.6415 0.1124 0.2680  6 Pm 3.37-3.77, 1 Sm 3.53, 1 Ac 3.69
8 Pm 0.6766 0.6766 0.2256  4 Pm 3.53-3.68, 4 Ac 3.54-3.68, 1 Sm 3.70
9 Pm 0.8876 0.3585 0.7320  6 Pm 3.37-3.77, 1 Sm 3.53, 1 Ac 3.69
10 Pm 0.9559 0.9559 0.7646  1 Pm 3.15, 1 Ac 3.49
11 Sm 0.5000 0.5000 0.0000  10 Pm 3.53-3.91

Properties
- Size of the total moment: 0.000 μB/atom
- Calculated volume: 37.43 Å³/atom

Stability ranking, top entry: entry w; the second entry is 42 meV/atom less favorable.

Entry w
Crystalline AcPmSm2 at its relaxed geometry, computed with PBE.

a = 12.1718 Å, b = 12.1718 Å, c = 12.1718 Å
α = 17.77°, β = 17.77°, γ = 17.77°
Closest atoms and distances in Å follow each position.
Fractional coordinates of all 4 atoms:
1 Ac 0.0000 0.0000 0.0000  6 Sm 3.75-3.77, 6 Ac 3.76
2 Pm 0.1663 0.1663 0.1663  6 Sm 3.62-3.65, 6 Pm 3.76
3 Sm 0.4191 0.4191 0.4191  3 Pm 3.62, 6 Sm 3.76, 3 Ac 3.77
4 Sm 0.5814 0.5814 0.5814  3 Pm 3.65, 3 Ac 3.75, 6 Sm 3.76

Properties
- Size of the total moment: 0.000 μB/atom
- Calculated volume: 36.65 Å³/atom

Entry x
Crystalline AcPmSm2 at its relaxed geometry, computed with PBE.

a = 13.1213 Å, b = 13.1213 Å, c = 13.1213 Å
α = 15.94°, β = 15.94°, γ = 15.94°
Closest atoms and distances in Å follow each position.
Fractional coordinates of all 4 atoms:
1 Ac 0.0000 0.0000 0.0000  2 Sm 3.56, 6 Ac 3.64
2 Pm 0.5000 0.5000 0.5000  6 Sm 3.59, 6 Pm 3.64
3 Sm 0.0917 0.0917 0.0917  1 Ac 3.56, 3 Pm 3.59, 6 Sm 3.64
4 Sm 0.9083 0.9083 0.9083  1 Ac 3.56, 3 Pm 3.59, 6 Sm 3.64

Properties
- Size of the total moment: 0.000 μB/atom
- Calculated volume: 37.15 Å³/atom

Stability ranking, top entry: entry w; the second entry is 134 meV/atom less favorable.

Entry w
Crystalline AcPmSm2 at its relaxed geometry, computed with PBE.

a = 5.2650 Å, b = 5.2650 Å, c = 5.2473 Å
α = 90.00°, β = 90.00°, γ = 90.00°
Closest atoms and distances in Å follow each position.
Fractional coordinates of all 4 atoms:
1 Ac 0.0000 0.0000 0.0000  8 Sm 3.72, 4 Pm 3.72
2 Pm 0.5000 0.5000 0.0000  8 Sm 3.72, 4 Ac 3.72
3 Sm 0.0000 0.5000 0.5000  4 Ac 3.72, 4 Pm 3.72, 4 Sm 3.72
4 Sm 0.5000 0.0000 0.5000  4 Ac 3.72, 4 Pm 3.72, 4 Sm 3.72

Properties
- Size of the total moment: 0.000 μB/atom
- Calculated volume: 36.36 Å³/atom

Entry x
Crystalline AcPmSm2 at its relaxed geometry, computed with PBE.

a = 5.9188 Å, b = 5.9188 Å, c = 5.9188 Å
α = 60.00°, β = 60.00°, γ = 60.00°
Closest atoms and distances in Å follow each position.
Fractional coordinates of all 4 atoms:
1 Ac 0.0000 0.0000 0.0000  8 Sm 3.62
2 Pm 0.5000 0.5000 0.5000  8 Sm 3.62
3 Sm 0.2500 0.2500 0.2500  4 Ac 3.62, 4 Pm 3.62
4 Sm 0.7500 0.7500 0.7500  4 Ac 3.62, 4 Pm 3.62

Properties
- Size of the total moment: 0.000 μB/atom
- Calculated volume: 36.65 Å³/atom

Stability ranking, top entry: entry w; the second entry is 107 meV/atom less favorable.

Entry w
Crystalline Ac2Pm5Sm12 at its relaxed geometry, computed with PBE.

a = 10.9538 Å, b = 10.9538 Å, c = 6.3175 Å
α = 101.40°, β = 101.40°, γ = 65.56°
Closest atoms and distances in Å follow each position.
Fractional coordinates of all 19 atoms:
1 Ac 0.2231 0.7769 0.0000  10 Sm 3.49-3.87
2 Ac 0.7769 0.2231 0.0000  10 Sm 3.49-3.87
3 Pm 0.0000 0.0000 0.5000  6 Sm 3.42-3.51
4 Pm 0.2164 0.2164 0.5427  8 Sm 3.49-3.69, 2 Pm 3.63-3.86
5 Pm 0.3284 0.3284 0.1410  9 Sm 3.46-3.87, 2 Pm 3.63-3.86
6 Pm 0.6716 0.6716 0.8590  9 Sm 3.46-3.87, 2 Pm 3.63-3.86
7 Pm 0.7836 0.7836 0.4573  8 Sm 3.49-3.69, 2 Pm 3.63-3.86
8 Sm 0.0506 0.5431 0.7955  6 Sm 3.43-3.79, 3 Pm 3.49-3.67, 1 Ac 3.68
9 Sm 0.1295 0.1295 0.9869  4 Pm 3.42-3.56, 4 Sm 3.45-3.78, 2 Ac 3.58
10 Sm 0.1457 0.6460 0.3938  6 Sm 3.46-3.79, 3 Pm 3.46-3.69, 1 Ac 3.49
11 Sm 0.3540 0.8543 0.6062  6 Sm 3.46-3.79, 3 Pm 3.46-3.69, 1 Ac 3.49
12 Sm 0.4407 0.4407 0.7144  4 Sm 3.58-3.86, 2 Pm 3.73-3.76, 2 Ac 3.78
13 Sm 0.4569 0.9494 0.2045  6 Sm 3.43-3.79, 3 Pm 3.49-3.67, 1 Ac 3.68
14 Sm 0.5431 0.0506 0.7955  6 Sm 3.43-3.79, 3 Pm 3.49-3.67, 1 Ac 3.68
15 Sm 0.5593 0.5593 0.2856  4 Sm 3.58-3.86, 2 Pm 3.73-3.76, 2 Ac 3.78
16 Sm 0.6460 0.1457 0.3938  6 Sm 3.46-3.79, 3 Pm 3.46-3.69, 1 Ac 3.49
17 Sm 0.8543 0.3540 0.6062  6 Sm 3.46-3.79, 3 Pm 3.46-3.69, 1 Ac 3.49
18 Sm 0.8705 0.8705 0.0131  4 Pm 3.42-3.56, 4 Sm 3.45-3.78, 2 Ac 3.58
19 Sm 0.9494 0.4569 0.2045  6 Sm 3.43-3.79, 3 Pm 3.49-3.67, 1 Ac 3.68

Properties
- Size of the total moment: 0.000 μB/atom
- Calculated volume: 35.30 Å³/atom

Entry x
Crystalline Ac2Pm5Sm12 at its relaxed geometry, computed with PBE.

a = 7.2670 Å, b = 7.2670 Å, c = 15.2471 Å
α = 104.46°, β = 104.46°, γ = 60.88°
Closest atoms and distances in Å follow each position.
Fractional coordinates of all 19 atoms:
1 Ac 0.2497 0.7503 0.0000  6 Sm 3.58-3.77, 4 Pm 3.63, 2 Ac 3.68-3.69
2 Ac 0.7503 0.2497 0.0000  6 Sm 3.58-3.77, 4 Pm 3.63, 2 Ac 3.68-3.69
3 Pm 0.0000 0.0000 0.5000  4 Sm 3.60, 4 Pm 4.01
4 Pm 0.2503 0.2503 0.0006  6 Sm 3.54-3.82, 4 Ac 3.63, 2 Pm 3.68
5 Pm 0.4023 0.4023 0.4075  1 Pm 3.16, 4 Sm 3.45-3.50
6 Pm 0.5977 0.5977 0.5925  1 Pm 3.16, 4 Sm 3.45-3.50
7 Pm 0.7497 0.7497 0.9994  6 Sm 3.54-3.82, 4 Ac 3.63, 2 Pm 3.68
8 Sm 0.0926 0.5656 0.6054  5 Sm 3.26-3.58, 2 Pm 3.45-3.60
9 Sm 0.1568 0.6672 0.2164  3 Pm 3.50-3.82, 7 Sm 3.58-3.76, 1 Ac 3.77
10 Sm 0.1609 0.1609 0.2023  8 Sm 3.49-3.68, 2 Pm 3.57-3.67, 2 Ac 3.65
11 Sm 0.3328 0.8432 0.7836  3 Pm 3.50-3.82, 7 Sm 3.58-3.76, 1 Ac 3.77
12 Sm 0.3450 0.3450 0.8032  8 Sm 3.44-3.68, 1 Pm 3.54, 2 Ac 3.58
13 Sm 0.4344 0.9074 0.3946  5 Sm 3.26-3.58, 2 Pm 3.45-3.60
14 Sm 0.5656 0.0926 0.6054  5 Sm 3.26-3.58, 2 Pm 3.45-3.60
15 Sm 0.6550 0.6550 0.1968  8 Sm 3.44-3.68, 1 Pm 3.54, 2 Ac 3.58
16 Sm 0.6672 0.1568 0.2164  3 Pm 3.50-3.82, 7 Sm 3.58-3.76, 1 Ac 3.77
17 Sm 0.8391 0.8391 0.7977  8 Sm 3.49-3.68, 2 Pm 3.57-3.67, 2 Ac 3.65
18 Sm 0.8432 0.3328 0.7836  3 Pm 3.50-3.82, 7 Sm 3.58-3.76, 1 Ac 3.77
19 Sm 0.9074 0.4344 0.3946  5 Sm 3.26-3.58, 2 Pm 3.45-3.60

Properties
- Size of the total moment: 0.000 μB/atom
- Calculated volume: 35.43 Å³/atom

Stability ranking, top entry: entry w; the second entry is 11 meV/atom less favorable.